DFT (GGA-PBE) results for a relaxed AlTc2O4 crystal.

Calculated values
Raw total energy, eV per formula unit: -54.56
Symmetry: Fd-3m

Cell and atoms, written as CIF:
```
data_AlTc2O4
_chemical_formula_sum 'Al2 Tc4 O8'
_symmetry_space_group_name_H-M 'P 1'
_symmetry_Int_Tables_number 1
_symmetry_space_group_name_Hall 'P 1'
_cell_length_a 5.921
_cell_length_b 5.921
_cell_length_c 5.921
_cell_angle_alpha 120.01
_cell_angle_beta 120.01
_cell_angle_gamma 89.99
loop_
_atom_site_label
_atom_site_type_symbol
_atom_site_fract_x
_atom_site_fract_y
_atom_site_fract_z
_atom_site_occupancy
Al1 Al 0.000 0.000 0.000 1
Al2 Al 0.250 0.750 0.500 1
O1 O 0.361 0.120 0.241 1
O2 O 0.880 0.120 0.241 1
O3 O 0.370 0.630 0.259 1
O4 O 0.889 0.630 0.259 1
O5 O 0.370 0.630 0.741 1
O6 O 0.370 0.111 0.741 1
O7 O 0.880 0.639 0.759 1
O8 O 0.880 0.120 0.759 1
Tc1 Tc 0.625 0.875 0.250 1
Tc2 Tc 0.625 0.375 0.250 1
Tc3 Tc 0.125 0.375 0.750 1
Tc4 Tc 0.625 0.375 0.750 1
```



DFT (GGA-PBE) results for a relaxed BaZrPa crystal.

Calculated values
Offset from the most stable computed form, meV per atom: 0.0
Symmetry: F-43m

Cell and atoms, written as CIF:
```
data_BaZrPa
_chemical_formula_sum 'Ba1 Zr1 Pa1'
_symmetry_space_group_name_H-M 'P 1'
_symmetry_Int_Tables_number 1
_symmetry_space_group_name_Hall 'P 1'
_cell_length_a 5.243
_cell_length_b 5.243
_cell_length_c 5.243
_cell_angle_alpha 60.00
_cell_angle_beta 60.00
_cell_angle_gamma 60.00
loop_
_atom_site_label
_atom_site_type_symbol
_atom_site_fract_x
_atom_site_fract_y
_atom_site_fract_z
_atom_site_occupancy
Ba1 Ba 0.250 0.250 0.250 1
Pa1 Pa 0.750 0.750 0.750 1
Zr1 Zr 0.000 0.000 0.000 1
```



DFT (GGA-PBE) results for a relaxed DyTmTlPd2 crystal.

Calculated values
Raw total energy, eV per formula unit: -25.65
Symmetry: Amm2

Cell and atoms, written as CIF:
```
data_DyTmTlPd2
_chemical_formula_sum 'Dy1 Tm1 Tl1 Pd2'
_symmetry_space_group_name_H-M 'P 1'
_symmetry_Int_Tables_number 1
_symmetry_space_group_name_Hall 'P 1'
_cell_length_a 3.632
_cell_length_b 7.793
_cell_length_c 7.793
_cell_angle_alpha 30.53
_cell_angle_beta 90.00
_cell_angle_gamma 90.00
loop_
_atom_site_label
_atom_site_type_symbol
_atom_site_fract_x
_atom_site_fract_y
_atom_site_fract_z
_atom_site_occupancy
Dy1 Dy 0.500 0.366 0.366 1
Pd1 Pd 0.000 0.189 0.189 1
Pd2 Pd 0.000 0.809 0.809 1
Tl1 Tl 0.000 0.000 0.000 1
Tm1 Tm 0.500 0.635 0.635 1
```



DFT (GGA-PBE) results for a relaxed ScGaCuOs crystal.

Calculated values
Offset from the most stable computed form, meV per atom: 0.0
Symmetry: F-43m

Cell and atoms, written as CIF:
```
data_ScGaCuOs
_chemical_formula_sum 'Sc1 Ga1 Cu1 Os1'
_symmetry_space_group_name_H-M 'P 1'
_symmetry_Int_Tables_number 1
_symmetry_space_group_name_Hall 'P 1'
_cell_length_a 4.414
_cell_length_b 4.414
_cell_length_c 4.414
_cell_angle_alpha 60.00
_cell_angle_beta 60.00
_cell_angle_gamma 60.00
loop_
_atom_site_label
_atom_site_type_symbol
_atom_site_fract_x
_atom_site_fract_y
_atom_site_fract_z
_atom_site_occupancy
Cu1 Cu 0.750 0.750 0.750 1
Ga1 Ga 0.000 0.000 0.000 1
Os1 Os 0.250 0.250 0.250 1
Sc1 Sc 0.500 0.500 0.500 1
```